1.
Here is a geometry-optimized Sc4CoAu3 structure from the Alexandria database. Energies are from PBE.

Unit cell a=3.315 b=3.315 c=13.603 alpha=90.00 beta=90.00 gamma=90.00
Atoms (fractional coordinates):
Au 0.500 0.500 0.241
Au 0.500 0.500 0.500
Au 0.500 0.500 0.759
Sc 0.000 0.000 0.889
Sc 0.000 0.000 0.630
Sc 0.000 0.000 0.111
Sc 0.000 0.000 0.370
Co 0.500 0.500 0.000

Calculated values
The space group is No. 123. The calculation puts the density of states at the Fermi level at 7.10 states/eV per cell. The value obtained for the formation enthalpy at 0 K is -0.677 eV per atom. As for the total magnetic moment: 0.646 μB per formula unit.


2.
Here is a geometry-optimized ScCo2Au structure from the Alexandria database. Energies are from PBE.

Unit cell a=4.807 b=4.807 c=4.807 alpha=132.73 beta=132.73 gamma=69.09
Atoms (fractional coordinates):
Co 0.250 0.750 0.500
Co 0.000 0.000 0.000
Au 0.750 0.250 0.500
Sc 0.500 0.500 0.000

Calculated values
The space group is No. 119. The calculation puts the density of states at the Fermi level at 4.28 states/eV per cell. The value obtained for the formation enthalpy at 0 K is -0.189 eV per atom. As for the total magnetic moment: 2.249 μB per formula unit.


3.
Here is a geometry-optimized ScCoAu2 structure from the Alexandria database. Energies are from PBE.

Unit cell a=8.756 b=8.756 c=8.756 alpha=20.14 beta=20.14 gamma=20.14
Atoms (fractional coordinates):
Co 0.503 0.503 0.503
Au 0.757 0.757 0.757
Au 0.997 0.997 0.997
Sc 0.242 0.242 0.242

Calculated values
The space group is No. 160. The calculation puts the density of states at the Fermi level at 2.24 states/eV per cell. The value obtained for the formation enthalpy at 0 K is -0.013 eV per atom. As for the total magnetic moment: 0.939 μB per formula unit.


4.
Here is a geometry-optimized ScCoAu structure from the Alexandria database. Energies are from PBE.

Unit cell a=4.321 b=4.321 c=4.321 alpha=60.00 beta=60.00 gamma=60.00
Atoms (fractional coordinates):
Co 0.500 0.500 0.500
Au 0.000 0.000 0.000
Sc 0.250 0.250 0.250

Calculated values
The space group is No. 216. The calculation puts the density of states at the Fermi level at 2.12 states/eV per cell. The value obtained for the formation enthalpy at 0 K is 0.170 eV per atom. As for the total magnetic moment: 0.001 μB per formula unit.


5.
Here is a geometry-optimized ScCo2Au structure from the Alexandria database. Energies are from PBE.

Unit cell a=3.178 b=3.344 c=5.655 alpha=90.00 beta=90.00 gamma=90.00
Atoms (fractional coordinates):
Au 0.500 0.500 0.750
Sc 0.500 0.500 0.250
Co 0.000 0.000 0.503
Co 0.000 0.000 0.997

Calculated values
The space group is No. 47. The calculation puts the density of states at the Fermi level at 5.35 states/eV per cell. The value obtained for the formation enthalpy at 0 K is -0.032 eV per atom. As for the total magnetic moment: 2.323 μB per formula unit.


6.
Here is a geometry-optimized ScCo2Au structure from the Alexandria database. Energies are from PBE.

Unit cell a=8.473 b=8.473 c=8.473 alpha=20.08 beta=20.08 gamma=20.08
Atoms (fractional coordinates):
Co 0.257 0.257 0.257
Co 0.991 0.991 0.991
Au 0.745 0.745 0.745
Sc 0.507 0.507 0.507

Calculated values
The space group is No. 160. The calculation puts the density of states at the Fermi level at 3.67 states/eV per cell. The value obtained for the formation enthalpy at 0 K is 0.163 eV per atom. As for the total magnetic moment: 3.360 μB per formula unit.


7.
Here is a geometry-optimized Sc5CoAu4 structure from the Alexandria database. Energies are from PBE.

Unit cell a=3.347 b=3.347 c=16.865 alpha=90.00 beta=90.00 gamma=90.00
Atoms (fractional coordinates):
Sc 0.500 0.500 0.911
Sc 0.500 0.500 0.500
Sc 0.500 0.500 0.294
Sc 0.500 0.500 0.706
Sc 0.500 0.500 0.089
Au 0.000 0.000 0.602
Au 0.000 0.000 0.808
Au 0.000 0.000 0.192
Au 0.000 0.000 0.398
Co 0.000 0.000 0.000

Calculated values
The space group is No. 123. The calculation puts the density of states at the Fermi level at 6.74 states/eV per cell. The value obtained for the formation enthalpy at 0 K is -0.703 eV per atom. As for the total magnetic moment: 0.502 μB per formula unit.


8.
Here is a geometry-optimized ScCo2Au structure from the Alexandria database. Energies are from PBE.

Unit cell a=8.619 b=8.619 c=8.619 alpha=19.22 beta=19.22 gamma=19.22
Atoms (fractional coordinates):
Sc 0.250 0.250 0.250
Co 0.997 0.997 0.997
Co 0.503 0.503 0.503
Au 0.750 0.750 0.750

Calculated values
The space group is No. 166. The calculation puts the density of states at the Fermi level at 6.11 states/eV per cell. The value obtained for the formation enthalpy at 0 K is 0.270 eV per atom. As for the total magnetic moment: 1.439 μB per formula unit.


9.
Here is a geometry-optimized ScCo2Au structure from the Alexandria database. Energies are from PBE.

Unit cell a=4.418 b=4.418 c=4.418 alpha=60.00 beta=60.00 gamma=60.00
Atoms (fractional coordinates):
Sc 0.750 0.750 0.750
Co 0.000 0.000 0.000
Co 0.250 0.250 0.250
Au 0.500 0.500 0.500

Calculated values
The space group is No. 216. The calculation puts the density of states at the Fermi level at 4.08 states/eV per cell. The value obtained for the formation enthalpy at 0 K is -0.090 eV per atom. As for the total magnetic moment: 2.853 μB per formula unit.


10.
Here is a geometry-optimized Sc6Co2Au structure from the Alexandria database. Energies are from PBE.

Unit cell a=7.694 b=7.694 c=7.694 alpha=106.13 beta=111.63 gamma=110.71
Atoms (fractional coordinates):
Sc 0.695 0.020 0.326
Sc 0.695 0.369 0.674
Sc 0.200 0.757 0.958
Sc 0.305 0.631 0.326
Sc 0.096 0.281 0.815
Sc 0.800 0.243 0.042
Sc 0.465 0.281 0.185
Sc 0.535 0.719 0.815
Sc 0.200 0.243 0.443
Sc 0.800 0.757 0.557
Sc 0.904 0.719 0.185
Sc 0.305 0.980 0.674
Co 0.500 0.621 0.121
Co 0.343 0.000 0.343
Co 0.657 0.000 0.657
Co 0.500 0.379 0.879
Au 0.000 0.500 0.500
Au 0.000 0.000 0.000

Calculated values
The space group is No. 71. The calculation puts the density of states at the Fermi level at 22.23 states/eV per cell. The value obtained for the formation enthalpy at 0 K is -0.394 eV per atom. As for the total magnetic moment: 0.000 μB per formula unit.


11.
Here is a geometry-optimized ScCoAu2 structure from the Alexandria database. Energies are from PBE.

Unit cell a=8.139 b=8.139 c=8.139 alpha=23.36 beta=23.36 gamma=23.36
Atoms (fractional coordinates):
Co 0.750 0.750 0.750
Au 0.004 0.004 0.004
Au 0.496 0.496 0.496
Sc 0.250 0.250 0.250

Calculated values
The space group is No. 166. The calculation puts the density of states at the Fermi level at 4.02 states/eV per cell. The value obtained for the formation enthalpy at 0 K is 0.032 eV per atom. As for the total magnetic moment: 1.851 μB per formula unit.


12.
Here is a geometry-optimized ScCo2Au structure from the Alexandria database. Energies are from PBE.

Unit cell a=5.126 b=5.126 c=2.846 alpha=77.03 beta=77.03 gamma=116.56
Atoms (fractional coordinates):
Co 0.500 0.500 0.000
Co 0.000 0.000 0.000
Sc 0.500 0.000 0.500
Au 0.000 0.500 0.500

Calculated values
The space group is No. 12. The calculation puts the density of states at the Fermi level at 4.79 states/eV per cell. The value obtained for the formation enthalpy at 0 K is 0.050 eV per atom. As for the total magnetic moment: 2.343 μB per formula unit.